Model a:
# Sc3MnRh

An optimized crystal structure of Sc3MnRh (PBE, Alexandria).

Summary:
- Density: 4.8 g cm⁻³
- Space group: Pm-3m (221)
- Crystal system: cubic

The structure in POSCAR format:
```
Sc3MnRh
1.0
4.649 0.000 0.000
0.000 4.649 0.000
0.000 0.000 4.649
Sc Mn Rh
3 1 1
Cartesian
0.000 0.000 2.324 Sc
0.000 2.324 0.000 Sc
2.324 0.000 0.000 Sc
0.000 0.000 0.000 Mn
2.324 2.324 2.324 Rh
```

Model b:
# Sc3MnRh

An optimized crystal structure of Sc3MnRh (PBE, Alexandria).

Summary:
- Density: 3.9 g cm⁻³
- Space group: Pm-3m (221)
- Crystal system: cubic

The structure in POSCAR format:
```
Sc3MnRh
1.0
4.979 0.000 0.000
0.000 4.979 0.000
0.000 0.000 4.979
Sc Mn Rh
3 1 1
Cartesian
0.000 0.000 2.489 Sc
0.000 2.489 0.000 Sc
2.489 0.000 0.000 Sc
2.489 2.489 2.489 Mn
0.000 0.000 0.000 Rh
```

model b is preferred energetically. Next in line: 144 meV per atom higher.

Model a:
# Mn3RhSe

An optimized crystal structure of Mn3RhSe (PBE, Alexandria).

Summary:
- Density: 5.2 g cm⁻³
- Space group: Pm-3m (221)
- Crystal system: cubic

The structure in POSCAR format:
```
Mn3RhSe
1.0
4.808 0.000 0.000
0.000 4.808 0.000
0.000 0.000 4.808
Mn Rh Se
3 1 1
Cartesian
0.000 0.000 2.404 Mn
0.000 2.404 0.000 Mn
2.404 0.000 0.000 Mn
0.000 0.000 0.000 Rh
2.404 2.404 2.404 Se
```

Model b:
# Mn3RhSe

An optimized crystal structure of Mn3RhSe (PBE, Alexandria).

Summary:
- Density: 7.5 g cm⁻³
- Space group: Pm-3m (221)
- Crystal system: cubic

The structure in POSCAR format:
```
Mn3RhSe
1.0
4.247 0.000 0.000
0.000 4.247 0.000
0.000 0.000 4.247
Mn Rh Se
3 1 1
Cartesian
0.000 0.000 2.123 Mn
0.000 2.123 0.000 Mn
2.123 0.000 0.000 Mn
2.123 2.123 2.123 Rh
0.000 0.000 0.000 Se
```

model a is preferred energetically. Next in line: 394 meV per atom higher.

Model a:
# MnSiRh3

An optimized crystal structure of MnSiRh3 (PBE, Alexandria).

Summary:
- Density: 7.5 g cm⁻³
- Space group: Pm-3m (221)
- Crystal system: cubic

The structure in POSCAR format:
```
MnSiRh3
1.0
4.420 0.000 0.000
0.000 4.420 0.000
0.000 0.000 4.420
Mn Si Rh
1 1 3
Cartesian
0.000 0.000 0.000 Mn
2.210 2.210 2.210 Si
0.000 0.000 2.210 Rh
0.000 2.210 0.000 Rh
2.210 0.000 0.000 Rh
```

Model b:
# MnSiRh3

An optimized crystal structure of MnSiRh3 (PBE, Alexandria).

Summary:
- Density: 7.9 g cm⁻³
- Space group: Pm-3m (221)
- Crystal system: cubic

The structure in POSCAR format:
```
MnSiRh3
1.0
4.347 0.000 0.000
0.000 4.347 0.000
0.000 0.000 4.347
Mn Si Rh
1 1 3
Cartesian
0.000 0.000 0.000 Mn
2.174 2.174 2.174 Si
0.000 2.174 2.174 Rh
2.174 0.000 2.174 Rh
2.174 2.174 0.000 Rh
```

model b is preferred energetically. Next in line: 330 meV per atom higher.

Model a:
# MnSnRh3

An optimized crystal structure of MnSnRh3 (PBE, Alexandria).

Summary:
- Density: 8.9 g cm⁻³
- Space group: Pm-3m (221)
- Crystal system: cubic

The structure in POSCAR format:
```
MnSnRh3
1.0
4.481 0.000 0.000
0.000 4.481 0.000
0.000 0.000 4.481
Mn Sn Rh
1 1 3
Cartesian
0.000 0.000 0.000 Mn
2.241 2.241 2.241 Sn
0.000 0.000 2.241 Rh
0.000 2.241 0.000 Rh
2.241 0.000 0.000 Rh
```

Model b:
# MnSnRh3

An optimized crystal structure of MnSnRh3 (PBE, Alexandria).

Summary:
- Density: 7.3 g cm⁻³
- Space group: Pm-3m (221)
- Crystal system: cubic

The structure in POSCAR format:
```
MnSnRh3
1.0
4.780 0.000 0.000
0.000 4.780 0.000
0.000 0.000 4.780
Mn Sn Rh
1 1 3
Cartesian
0.000 0.000 0.000 Mn
2.390 2.390 2.390 Sn
0.000 2.390 2.390 Rh
2.390 0.000 2.390 Rh
2.390 2.390 0.000 Rh
```

model a is preferred energetically. Next in line: 1017 meV per atom higher.